# 1
VASP calculation (PBE-GGA) on Rb3Sb2P2 after structural relaxation.

The space group is C2/m (No. 12) and the conventional cell measures 12.921, 4.058 and 11.964 Å, with angles of 90.00, 119.44 and 90.00 degrees. The distinct sites, in fractional coordinates, are Rb at (0.000, 0.000, 0.000), Rb at (0.123, 0.500, 0.697), Sb at (0.167, 0.000, 0.433) and P at (0.234, 0.500, 0.033).

For the uncorrected formation energy, the calculation gives -200 kJ/mol of formula units.


# 2
VASP calculation (PBE-GGA) on Ir2OsBr after structural relaxation.

The space group is Pmm2 (No. 25) and the conventional cell measures 2.670, 3.804 and 7.987 Å, with angles of 90.00, 90.00 and 90.00 degrees. The distinct sites, in fractional coordinates, are Ir at (0.000, 0.000, 0.000), Ir at (0.500, 0.500, 0.171), Os at (0.000, 0.000, 0.319) and Br at (0.500, 0.500, 0.661).

For the uncorrected formation energy, the calculation gives 340 kJ/mol of formula units.


# 3
VASP calculation (PBE-GGA) on In2FeCl after structural relaxation.

The space group is I4/mmm (No. 139) and the conventional cell measures 4.451, 4.451 and 9.007 Å, with angles of 90.00, 90.00 and 90.00 degrees. The distinct sites, in fractional coordinates, are In at (0.000, 0.500, 0.250), Fe at (0.000, 0.000, 0.000) and Cl at (0.000, 0.000, 0.500).

For the uncorrected formation energy, the calculation gives 116 kJ/mol of formula units.


# 4
VASP calculation (PBE-GGA) on TiReP2 after structural relaxation.

The space group is I-42d (No. 122) and the conventional cell measures 5.091, 5.091 and 12.163 Å, with angles of 90.00, 90.00 and 90.00 degrees. The distinct sites, in fractional coordinates, are Ti at (0.000, 0.000, 0.000), Re at (0.000, 0.000, 0.500) and P at (0.222, 0.250, 0.625).

As for the total energy: -7.85 eV per atom.


# 5
VASP calculation (PBE-GGA) on LaThS4 after structural relaxation.

The space group is I4_1/amd (No. 141, origin choice 2) and the conventional cell measures 7.005, 7.005 and 12.477 Å, with angles of 90.00, 90.00 and 90.00 degrees. The distinct sites, in fractional coordinates, are La at (0.000, 0.250, 0.375), Th at (0.000, 0.250, 0.875) and S at (0.242, 0.000, 0.000).

For the uncorrected formation energy, the calculation gives -1043 kJ/mol of formula units.


# 6
VASP calculation (PBE-GGA) on PaNbS4 after structural relaxation.

The space group is C2/c (No. 15) and the conventional cell measures 10.557, 8.024 and 6.967 Å, with angles of 90.00, 90.07 and 90.00 degrees. The distinct sites, in fractional coordinates, are Pa at (0.250, 0.250, 0.000), Nb at (0.000, 0.000, 0.250), S at (0.001, 0.227, 0.000) and S at (0.240, 0.001, 0.251).

For the uncorrected formation energy, the calculation gives -738 kJ/mol of formula units.


# 7
VASP calculation (PBE-GGA) on Ho2TcO after structural relaxation.

The space group is R-3m (No. 166, hexagonal axes) and the conventional cell measures 3.2339, 3.2339 and 24.6487 Å, with angles of 90.00, 90.00 and 120.00 degrees. The distinct sites, in fractional coordinates, are Ho at (0.0000, 0.0000, 0.1072), Tc at (0.0000, 0.0000, 0.0000) and O at (0.0000, 0.0000, 0.5000).

For the uncorrected formation energy, the calculation gives -296 kJ/mol of formula units.


# 8
VASP calculation (PBE-GGA) on CeSmAsP after structural relaxation.

The space group is P4/mmm (No. 123) and the conventional cell measures 4.158, 4.158 and 5.882 Å, with angles of 90.00, 90.00 and 90.00 degrees. The distinct sites, in fractional coordinates, are Ce at (0.000, 0.000, 0.000), Sm at (0.500, 0.500, 0.500), As at (0.000, 0.000, 0.500) and P at (0.500, 0.500, 0.000).

As for the total energy: -6.68 eV per atom.


| no. | N(E_F) (states/eV per cell) |
| --- | --- |
| 1 | 5.1 |
| 2 | 3.2 |
| 3 | 5.8 |
| 4 | 14.7 |
| 5 | 11.9 |
| 6 | 20.2 |
| 7 | 7.3 |
| 8 | 6.0 |